Density functional theory data (PBE-GGA) for an optimized crystal structure of Y3ZrMo.

Energy relative to the lowest polymorph listed for this composition: 0 meV per atom
Volume: 151.1 Å³/f.u.
Space-group type: No. 221
M_tot: 1.559 Bohr magnetons per cell

Cell lengths 5.327, 5.327, 5.327 Å; angles 90.00, 90.00, 90.00 degrees
Site moments in Bohr magnetons follow the coordinates.
Fractional coordinates of all 5 atoms:
Mo 0.000 0.000 0.000  -0.22
Y 0.500 0.000 0.000  0.06
Y 0.000 0.500 0.000  0.04
Y 0.000 0.000 0.500  0.05
Zr 0.500 0.500 0.500  0.84